A relaxed structure of AgSnC2Br. Source: Alexandria via LeMat-Bulk, functional PBE. Values from VASP.

Cell and atoms, written as Quantum ESPRESSO input:
```
&SYSTEM
  ibrav = 0, nat = 5, ntyp = 4
/
ATOMIC_SPECIES
Ag 107.87 Ag.upf
Sn 118.71 Sn.upf
C 12.01 C.upf
Br 79.90 Br.upf
CELL_PARAMETERS angstrom
4.198 0.000 0.000
0.000 4.198 0.000
0.000 0.000 6.085
ATOMIC_POSITIONS angstrom
Ag 0.000 0.000 0.000
Sn 2.099 2.099 3.043
C 0.000 2.099 0.000
C 2.099 0.000 0.000
Br 0.000 0.000 3.043
```

Properties
Space-group type: P4/mmm, No. 123
E_form (uncorrected), eV per formula unit: 10.4

A relaxed structure of VAg2CBr. Source: Alexandria via LeMat-Bulk, functional PBE. Values from VASP.

Cell and atoms, written as Quantum ESPRESSO input:
```
&SYSTEM
  ibrav = 0, nat = 5, ntyp = 4
/
ATOMIC_SPECIES
V 50.94 V.upf
Ag 107.87 Ag.upf
C 12.01 C.upf
Br 79.90 Br.upf
CELL_PARAMETERS angstrom
4.551 0.000 0.000
0.000 4.551 0.000
0.000 0.000 4.151
ATOMIC_POSITIONS angstrom
V 0.000 0.000 0.000
Ag 0.000 2.275 2.076
Ag 2.275 0.000 2.076
C 0.000 0.000 2.076
Br 2.275 2.275 0.000
```

Properties
Space-group type: P4/mmm, No. 123
E_form (uncorrected), eV per formula unit: 2.8

A relaxed structure of CaAgBr4. Source: Alexandria via LeMat-Bulk, functional PBE. Values from VASP.

Cell and atoms, written as Quantum ESPRESSO input:
```
&SYSTEM
  ibrav = 0, nat = 12, ntyp = 3
/
ATOMIC_SPECIES
Ca 40.08 Ca.upf
Ag 107.87 Ag.upf
Br 79.90 Br.upf
CELL_PARAMETERS angstrom
3.999 -7.633 0.000
3.999 7.633 0.000
-3.803 0.000 6.294
ATOMIC_POSITIONS angstrom
Ca 1.147 6.273 4.720
Ca 3.048 -6.273 1.573
Ag 3.048 1.270 1.573
Ag 1.147 -1.270 4.720
Br 1.270 3.101 2.119
Br -0.741 0.650 4.514
Br 1.161 -0.650 1.367
Br 4.827 3.101 1.028
Br -0.632 -3.101 5.266
Br 3.035 0.650 4.927
Br 4.936 -0.650 1.780
Br 2.926 -3.101 4.174
```

Properties
E above lowest polymorph, meV per atom: 20
Space-group type: C2/c, No. 15
E_form (uncorrected), eV per formula unit: -6.4

A relaxed structure of CaAg2Br4. Source: Alexandria via LeMat-Bulk, functional PBE. Values from VASP.

Cell and atoms, written as Quantum ESPRESSO input:
```
&SYSTEM
  ibrav = 0, nat = 7, ntyp = 3
/
ATOMIC_SPECIES
Ca 40.08 Ca.upf
Ag 107.87 Ag.upf
Br 79.90 Br.upf
CELL_PARAMETERS angstrom
-3.939 3.939 3.698
3.939 -3.939 3.698
3.939 3.939 -3.698
ATOMIC_POSITIONS angstrom
Ca 0.000 0.000 0.000
Ag 3.939 0.000 1.849
Ag 0.000 3.939 1.849
Br 5.411 1.411 0.000
Br 1.411 2.466 0.000
Br 2.528 1.473 3.698
Br -1.473 2.528 3.698
```

Properties
E above lowest polymorph, meV per atom: 100
Space-group type: I4/m, No. 87
E_form (uncorrected), eV per formula unit: -6.7

A relaxed structure of CaAgBr. Source: Alexandria via LeMat-Bulk, functional PBE. Values from VASP.

Cell and atoms, written as Quantum ESPRESSO input:
```
&SYSTEM
  ibrav = 0, nat = 3, ntyp = 3
/
ATOMIC_SPECIES
Ca 40.08 Ca.upf
Ag 107.87 Ag.upf
Br 79.90 Br.upf
CELL_PARAMETERS angstrom
0.000 3.612 3.612
3.612 0.000 3.612
3.612 3.612 0.000
ATOMIC_POSITIONS angstrom
Ca 0.000 0.000 0.000
Ag 3.612 3.612 3.612
Br 5.419 5.419 5.419
```

Properties
E above lowest polymorph, meV per atom: 409
Space-group type: F-43m, No. 216
E_form (uncorrected), eV per formula unit: -1.3

A relaxed structure of Ca3Ag5Br12. Source: Alexandria via LeMat-Bulk, functional PBE. Values from VASP.

Cell and atoms, written as Quantum ESPRESSO input:
```
&SYSTEM
  ibrav = 0, nat = 80, ntyp = 3
/
ATOMIC_SPECIES
Ca 40.08 Ca.upf
Ag 107.87 Ag.upf
Br 79.90 Br.upf
CELL_PARAMETERS angstrom
-8.461 8.461 8.461
8.461 -8.461 8.461
8.461 8.461 -8.461
ATOMIC_POSITIONS angstrom
Ca 4.231 2.115 0.000
Ca 8.461 4.231 -2.115
Ca 2.115 0.000 4.231
Ca 10.577 0.000 4.231
Ca 0.000 4.231 2.115
Ca 4.231 -2.115 8.461
Ca 4.231 10.577 0.000
Ca 8.461 4.231 6.346
Ca -2.115 8.461 4.231
Ca 6.346 8.461 4.231
Ca 0.000 4.231 10.577
Ca 4.231 6.346 8.461
Ag 0.000 0.000 0.000
Ag 4.231 4.231 -4.231
Ag 4.231 -4.231 4.231
Ag 8.461 0.000 0.000
Ag 12.692 2.115 0.000
Ag 8.461 -4.231 6.346
Ag 6.346 8.461 -4.231
Ag 6.346 0.000 4.231
Ag 4.231 6.346 0.000
Ag 8.461 4.231 2.115
Ag -4.231 4.231 4.231
Ag 0.000 8.461 0.000
Ag 0.000 0.000 8.461
Ag 4.231 4.231 4.231
Ag 0.000 4.231 6.346
Ag 4.231 2.115 8.461
Ag 2.115 8.461 4.231
Ag 2.115 0.000 12.692
Ag 0.000 12.692 2.115
Ag -4.231 6.346 8.461
Br 2.577 -0.364 1.127
Br 10.115 5.358 -4.595
Br 8.097 -1.127 2.577
Br 13.056 -1.654 3.104
Br 11.038 0.364 1.127
Br 10.115 -3.104 4.595
Br 1.127 2.577 -0.364
Br 11.565 3.866 -1.654
Br 5.358 4.595 -1.654
Br 7.334 2.577 0.364
Br -0.364 1.127 2.577
Br 4.595 -1.654 5.358
Br 8.097 7.334 -2.577
Br 4.595 1.654 3.104
Br 7.334 -2.577 8.097
Br 5.358 -4.595 10.115
Br 3.104 4.595 1.654
Br 9.588 5.885 0.364
Br 2.577 8.097 -1.127
Br 10.115 3.104 3.866
Br 4.595 10.115 -3.104
Br 8.097 1.127 5.885
Br 1.654 3.104 4.595
Br 2.577 0.364 7.334
Br 5.885 8.097 1.127
Br 6.807 5.358 3.866
Br 0.364 7.334 2.577
Br 3.866 -1.654 11.565
Br -1.654 5.358 4.595
Br 5.885 0.364 9.588
Br -1.127 2.577 8.097
Br 5.358 3.866 6.807
Br 3.104 13.056 -1.654
Br 1.127 11.038 0.364
Br 3.866 6.807 5.358
Br 0.364 1.127 11.038
Br 3.866 10.115 3.104
Br 8.826 7.334 5.885
Br 1.127 5.885 8.097
Br 3.104 3.866 10.115
Br -3.104 4.595 10.115
Br 7.334 5.885 8.826
Br -1.654 11.565 3.866
Br -2.577 8.097 7.334
Br -4.595 10.115 5.358
Br 0.364 9.588 5.885
Br -1.654 3.104 13.056
Br 5.885 8.826 7.334
```

Properties
Space-group type: Ia-3d, No. 230
E_form (uncorrected), eV per formula unit: -20.2

A relaxed structure of CaAgBr. Source: Alexandria via LeMat-Bulk, functional PBE. Values from VASP.

Cell and atoms, written as Quantum ESPRESSO input:
```
&SYSTEM
  ibrav = 0, nat = 3, ntyp = 3
/
ATOMIC_SPECIES
Ca 40.08 Ca.upf
Ag 107.87 Ag.upf
Br 79.90 Br.upf
CELL_PARAMETERS angstrom
0.000 3.595 3.595
3.595 0.000 3.595
3.595 3.595 0.000
ATOMIC_POSITIONS angstrom
Ca 0.000 0.000 0.000
Ag 5.392 5.392 5.392
Br 1.797 1.797 1.797
```

Properties
E above lowest polymorph, meV per atom: 114
Space-group type: F-43m, No. 216
E_form (uncorrected), eV per formula unit: -2.2

A relaxed structure of CaAg4Br6. Source: Alexandria via LeMat-Bulk, functional PBE. Values from VASP.

Cell and atoms, written as Quantum ESPRESSO input:
```
&SYSTEM
  ibrav = 0, nat = 22, ntyp = 3
/
ATOMIC_SPECIES
Ca 40.08 Ca.upf
Ag 107.87 Ag.upf
Br 79.90 Br.upf
CELL_PARAMETERS angstrom
6.837 -4.084 0.000
6.837 4.084 0.000
-4.159 0.000 14.254
ATOMIC_POSITIONS angstrom
Ca 4.758 2.676 7.127
Ca 6.837 -2.676 0.000
Ag 1.731 0.473 4.139
Ag -0.349 -0.473 11.266
Ag 3.233 1.541 10.657
Ag 3.216 1.834 13.631
Ag 5.312 -1.541 3.530
Ag 8.931 0.603 5.754
Ag 5.295 -1.834 6.504
Ag 6.852 -0.603 12.881
Br -3.030 0.001 12.099
Br -0.951 -0.001 4.972
Br 0.651 1.895 10.740
Br 2.175 1.948 6.375
Br 5.642 2.996 0.954
Br 5.634 1.570 9.590
Br 2.731 -1.895 3.613
Br 6.124 0.488 5.691
Br 0.095 -1.948 13.502
Br 4.044 -0.488 12.818
Br 3.562 -2.996 8.081
Br 7.713 -1.570 2.463
```

Properties
Space-group type: Cc, No. 9
E_form (uncorrected), eV per formula unit: -8.1